DFT (PBE-GGA) results for an optimized crystal structure of SrMn2Cr3S8.

Lattice parameters (Å, degrees): 7.3721 7.3721 7.3721 60.24 60.24 60.24
With the nearest neighbours (Å) after each atom.
Fractional coordinates of all 14 atoms:
Sr1 0.0000 0.0000 0.0000  6 S 2.68-2.99
Mn1 0.1722 0.1722 0.1722  4 S 2.31-2.52
Mn2 0.5256 0.5256 0.5256  6 S 2.39-2.51
Cr1 0.0147 0.5400 0.5400  6 S 2.39-2.56
Cr2 0.5400 0.0148 0.5400  6 S 2.39-2.56
Cr3 0.5400 0.5400 0.0147  6 S 2.39-2.56
S1 0.2849 0.2849 0.7579  2 Mn 2.51-2.52, 2 Cr 2.56
S2 0.2849 0.7579 0.2849  2 Mn 2.51-2.52, 2 Cr 2.56
S3 0.3006 0.3006 0.3006  1 Mn 2.31, 3 Cr 2.53
S4 0.3442 0.7528 0.7528  1 Mn 2.39, 2 Cr 2.41
S5 0.7528 0.3442 0.7528  1 Mn 2.39, 2 Cr 2.41
S6 0.7528 0.7528 0.3442  1 Mn 2.39, 2 Cr 2.41
S7 0.7579 0.2849 0.2849  2 Mn 2.51-2.52, 2 Cr 2.56
S8 0.7681 0.7681 0.7681  3 Cr 2.39

Properties
* calculated volume: 284.82 Å³/cell
* DFT total energy: -6.60 eV/atom

DFT (PBE-GGA) results for an optimized crystal structure of Ta2Mn2CrS6.

Lattice parameters (Å, degrees): 6.0048 6.0048 5.9998 90.63 90.63 122.04
With the nearest neighbours (Å) after each atom.
Fractional coordinates of all 11 atoms:
Ta1 0.1367 0.8633 0.0000  6 S 2.45-2.64
Ta2 0.8633 0.1367 0.0000  6 S 2.45-2.64
Mn1 0.1735 0.8265 0.5000  6 S 2.50-2.56
Mn2 0.8265 0.1735 0.5000  6 S 2.50-2.56
Cr1 0.5000 0.5000 0.0000  6 S 2.43
S1 0.1725 0.5084 0.7656  1 Cr 2.43, 2 Ta 2.48-2.64, 2 Mn 2.50-2.51
S2 0.1984 0.1984 0.2742  1 Cr 2.43, 2 Ta 2.45, 2 Mn 2.56
S3 0.4916 0.8275 0.2344  1 Cr 2.43, 2 Ta 2.48-2.64, 2 Mn 2.50-2.51
S4 0.5084 0.1725 0.7656  1 Cr 2.43, 2 Ta 2.48-2.64, 2 Mn 2.50-2.51
S5 0.8016 0.8016 0.7258  1 Cr 2.43, 2 Ta 2.45, 2 Mn 2.56
S6 0.8275 0.4916 0.2344  1 Cr 2.43, 2 Ta 2.48-2.64, 2 Mn 2.50-2.51

Properties
* calculated volume: 183.33 Å³/cell
* DFT total energy: -7.66 eV/atom

DFT (PBE-GGA) results for an optimized crystal structure of Ta2MnCr2S6.

Lattice parameters (Å, degrees): 6.0281 6.0281 5.9805 90.91 90.91 121.29
With the nearest neighbours (Å) after each atom.
Fractional coordinates of all 11 atoms:
Ta1 0.1378 0.8622 0.0000  6 S 2.46-2.64
Ta2 0.8622 0.1378 0.0000  6 S 2.46-2.64
Mn1 0.5000 0.5000 0.0000  6 S 2.49-2.51
Cr1 0.1704 0.8296 0.5000  6 S 2.47-2.51
Cr2 0.8296 0.1704 0.5000  6 S 2.47-2.51
S1 0.1618 0.5055 0.7592  2 Cr 2.47-2.49, 1 Mn 2.49, 2 Ta 2.50-2.64
S2 0.1908 0.1908 0.2792  2 Ta 2.46, 2 Cr 2.51, 1 Mn 2.51
S3 0.4945 0.8382 0.2408  2 Cr 2.47-2.49, 1 Mn 2.49, 2 Ta 2.50-2.64
S4 0.5055 0.1618 0.7592  2 Cr 2.47-2.49, 1 Mn 2.49, 2 Ta 2.50-2.64
S5 0.8092 0.8092 0.7208  2 Ta 2.46, 2 Cr 2.51, 1 Mn 2.51
S6 0.8382 0.4945 0.2408  2 Cr 2.47-2.49, 1 Mn 2.49, 2 Ta 2.50-2.64

Properties
* calculated volume: 185.62 Å³/cell
* DFT total energy: -7.66 eV/atom

DFT (PBE-GGA) results for an optimized crystal structure of MnCrTe2S.

Lattice parameters (Å, degrees): 7.7113 7.7113 7.7113 151.30 146.09 45.00
With the nearest neighbours (Å) after each atom.
Fractional coordinates of all 5 atoms:
Mn1 0.0000 0.0000 0.0000  1 S 2.29
Cr1 0.6854 0.1854 0.5000  2 S 2.28
Te1 0.5235 0.5235 0.0000  4 Mn 2.97, 2 Cr 3.00
Te2 0.8140 0.8140 0.0000  2 Cr 2.65, 1 Mn 2.65
S1 0.1607 0.1607 0.0000  2 Cr 2.28, 1 Mn 2.29

Properties
* calculated volume: 122.47 Å³/cell
* DFT total energy: -5.99 eV/atom

DFT (PBE-GGA) results for an optimized crystal structure of MnTlCrS3.

Lattice parameters (Å, degrees): 7.9010 3.4705 9.4302 90.00 111.49 90.00
With the nearest neighbours (Å) after each atom.
Fractional coordinates of all 12 atoms:
Mn1 0.0258 0.2500 0.1042  4 S 2.21-2.24
Mn2 0.9742 0.7500 0.8958  4 S 2.21-2.24
Tl1 0.4956 0.2500 0.7748  4 S 3.08-3.22
Tl2 0.5044 0.7500 0.2252  4 S 3.08-3.22
Cr1 0.0312 0.7500 0.3431  6 S 2.38-2.47
Cr2 0.9688 0.2500 0.6569  6 S 2.38-2.47
S1 0.1568 0.7500 0.6144  3 Cr 2.38-2.41
S2 0.1591 0.2500 0.9310  3 Mn 2.21-2.24, 1 Cr 2.47
S3 0.2349 0.2500 0.3380  1 Mn 2.22, 2 Cr 2.38
S4 0.7651 0.7500 0.6620  1 Mn 2.22, 2 Cr 2.38
S5 0.8409 0.7500 0.0690  3 Mn 2.21-2.24, 1 Cr 2.47
S6 0.8432 0.2500 0.3856  3 Cr 2.38-2.41

Properties
* calculated volume: 240.59 Å³/cell
* DFT total energy: -6.13 eV/atom

DFT (PBE-GGA) results for an optimized crystal structure of MnTl3Cr2S6.

Lattice parameters (Å, degrees): 6.1585 6.1585 7.9164 97.36 97.36 120.00
With the nearest neighbours (Å) after each atom.
Fractional coordinates of all 12 atoms:
Mn1 0.0000 0.0000 0.0000  6 S 2.41
Tl1 0.1655 0.8345 0.5000  6 S 3.26-3.29, 6 Tl 3.53-3.57
Tl2 0.5000 0.5000 0.5000  6 S 3.27, 6 Tl 3.55-3.57
Tl3 0.8345 0.1655 0.5000  6 S 3.26-3.29, 6 Tl 3.53-3.57
Cr1 0.3333 0.6667 0.0000  6 S 2.42-2.43
Cr2 0.6667 0.3333 0.0000  6 S 2.42-2.43
S1 0.0554 0.3861 0.1672  1 Mn 2.41, 2 Cr 2.42-2.43
S2 0.2761 0.2761 0.8332  1 Mn 2.41, 2 Cr 2.42
S3 0.3861 0.0554 0.1672  1 Mn 2.41, 2 Cr 2.42-2.43
S4 0.6139 0.9446 0.8328  1 Mn 2.41, 2 Cr 2.42-2.43
S5 0.7239 0.7239 0.1668  1 Mn 2.41, 2 Cr 2.42
S6 0.9446 0.6139 0.8328  1 Mn 2.41, 2 Cr 2.42-2.43

Properties
* calculated volume: 251.34 Å³/cell
* DFT total energy: -5.56 eV/atom

DFT (PBE-GGA) results for an optimized crystal structure of Mn2Tl3CrS6.

Lattice parameters (Å, degrees): 6.1372 6.1372 7.9958 97.41 97.41 120.04
With the nearest neighbours (Å) after each atom.
Fractional coordinates of all 12 atoms:
Mn1 0.1667 0.8333 0.0000  6 S 2.42-2.43
Mn2 0.8333 0.1667 0.0000  6 S 2.42-2.43
Tl1 0.0000 0.0000 0.5000  6 S 3.28, 6 Tl 3.54-3.55
Tl2 0.3327 0.6673 0.5000  6 S 3.28-3.29, 6 Tl 3.53-3.56
Tl3 0.6673 0.3327 0.5000  6 S 3.28-3.29, 6 Tl 3.53-3.56
Cr1 0.5000 0.5000 0.0000  6 S 2.42
S1 0.1100 0.4432 0.8327  2 Mn 2.42, 1 Cr 2.42
S2 0.2232 0.2232 0.1686  1 Cr 2.42, 2 Mn 2.43
S3 0.4432 0.1100 0.8327  2 Mn 2.42, 1 Cr 2.42
S4 0.5568 0.8900 0.1673  2 Mn 2.42, 1 Cr 2.42
S5 0.7768 0.7768 0.8314  1 Cr 2.42, 2 Mn 2.43
S6 0.8900 0.5568 0.1673  2 Mn 2.42, 1 Cr 2.42

Properties
* calculated volume: 251.88 Å³/cell
* DFT total energy: -5.49 eV/atom

DFT (PBE-GGA) results for an optimized crystal structure of MnTl2CrS4.

Lattice parameters (Å, degrees): 12.9721 11.4753 7.1772 84.80 61.76 33.44
With the nearest neighbours (Å) after each atom.
Fractional coordinates of all 16 atoms:
Mn1 0.1250 0.1250 0.1250  4 S 2.30
Mn2 0.8750 0.8750 0.8750  4 S 2.30
Tl1 0.1971 0.1971 0.5529  8 S 3.24-3.53
Tl2 0.4471 0.4471 0.8029  8 S 3.24-3.53
Tl3 0.5529 0.5529 0.1971  8 S 3.24-3.53
Tl4 0.8029 0.8029 0.4471  8 S 3.24-3.53
Cr1 0.3750 0.3750 0.3750  4 S 2.17
Cr2 0.6250 0.6250 0.6250  4 S 2.17
S1 0.1073 0.7547 0.4543  1 Cr 2.17, 1 Mn 2.30
S2 0.1837 0.4543 0.7547  1 Cr 2.17, 1 Mn 2.30
S3 0.2453 0.8927 0.8163  1 Cr 2.17, 1 Mn 2.30
S4 0.4543 0.1837 0.1073  1 Cr 2.17, 1 Mn 2.30
S5 0.5457 0.8163 0.8927  1 Cr 2.17, 1 Mn 2.30
S6 0.7547 0.1073 0.1837  1 Cr 2.17, 1 Mn 2.30
S7 0.8163 0.5457 0.2453  1 Cr 2.17, 1 Mn 2.30
S8 0.8927 0.2453 0.5457  1 Cr 2.17, 1 Mn 2.30

Properties
* calculated volume: 404.08 Å³/cell
* DFT total energy: -5.52 eV/atom

DFT (PBE-GGA) results for an optimized crystal structure of Mn2V2CrS6.

Lattice parameters (Å, degrees): 6.0709 6.0709 6.1777 99.26 99.26 118.88
With the nearest neighbours (Å) after each atom.
Fractional coordinates of all 11 atoms:
Mn1 0.1738 0.8262 0.0000  6 S 2.52-2.56
Mn2 0.8262 0.1738 0.0000  6 S 2.52-2.56
V1 0.3489 0.6511 0.5000  6 S 2.41-2.51
V2 0.6511 0.3489 0.5000  6 S 2.41-2.51
Cr1 0.0000 0.0000 0.5000  6 S 2.42-2.45
S1 0.0613 0.4040 0.7309  1 Cr 2.45, 2 V 2.50-2.51, 2 Mn 2.52
S2 0.2396 0.2396 0.2573  2 V 2.41, 1 Cr 2.42, 2 Mn 2.56
S3 0.4040 0.0613 0.7309  1 Cr 2.45, 2 V 2.50-2.51, 2 Mn 2.52
S4 0.5960 0.9387 0.2691  1 Cr 2.45, 2 V 2.50-2.51, 2 Mn 2.52
S5 0.7604 0.7604 0.7427  2 V 2.41, 1 Cr 2.42, 2 Mn 2.56
S6 0.9387 0.5960 0.2691  1 Cr 2.45, 2 V 2.50-2.51, 2 Mn 2.52

Properties
* calculated volume: 189.11 Å³/cell
* DFT total energy: -7.12 eV/atom

DFT (PBE-GGA) results for an optimized crystal structure of MnV2Cr2S6.

Lattice parameters (Å, degrees): 6.1154 6.1154 6.0957 99.19 99.19 120.20
With the nearest neighbours (Å) after each atom.
Fractional coordinates of all 11 atoms:
Mn1 0.0000 0.0000 0.0000  6 S 2.40-2.57
V1 0.3478 0.6522 0.0000  6 S 2.45-2.50
V2 0.6522 0.3478 0.0000  6 S 2.45-2.50
Cr1 0.1682 0.8318 0.5000  6 S 2.44-2.48
Cr2 0.8318 0.1682 0.5000  6 S 2.44-2.48
S1 0.0606 0.4219 0.2423  2 Cr 2.44-2.48, 2 V 2.47-2.50, 1 Mn 2.57
S2 0.2336 0.2336 0.7489  1 Mn 2.40, 2 V 2.45, 2 Cr 2.47
S3 0.4219 0.0606 0.2423  2 Cr 2.44-2.48, 2 V 2.47-2.50, 1 Mn 2.57
S4 0.5781 0.9394 0.7577  2 Cr 2.44-2.48, 2 V 2.47-2.50, 1 Mn 2.57
S5 0.7664 0.7664 0.2511  1 Mn 2.40, 2 V 2.45, 2 Cr 2.47
S6 0.9394 0.5781 0.7577  2 Cr 2.44-2.48, 2 V 2.47-2.50, 1 Mn 2.57

Properties
* calculated volume: 186.65 Å³/cell
* DFT total energy: -7.13 eV/atom

DFT (PBE-GGA) results for an optimized crystal structure of MnZnCrS2.

Lattice parameters (Å, degrees): 4.7393 4.7393 4.6682 90.00 90.00 90.00
With the nearest neighbours (Å) after each atom.
Fractional coordinates of all 5 atoms:
Mn1 0.0000 0.0000 0.0000  8 S 3.33, 4 Cr 3.35
Zn1 0.5000 0.5000 0.5000  2 Cr 2.33, 4 S 2.37
Cr1 0.5000 0.5000 0.0000  2 Zn 2.33
S1 0.0000 0.5000 0.5000  2 Zn 2.37
S2 0.5000 0.0000 0.5000  2 Zn 2.37

Properties
* calculated volume: 104.85 Å³/cell
* DFT total energy: -4.78 eV/atom

DFT (PBE-GGA) results for an optimized crystal structure of MnZn2Cr2S6.

Lattice parameters (Å, degrees): 6.1787 6.1787 6.2282 99.39 99.39 120.62
With the nearest neighbours (Å) after each atom.
Fractional coordinates of all 11 atoms:
Mn1 0.0000 0.0000 0.0000  6 S 2.44-2.58
Zn1 0.1675 0.8325 0.5000  6 S 2.48-2.60
Zn2 0.8325 0.1675 0.5000  6 S 2.48-2.60
Cr1 0.3352 0.6648 0.0000  6 S 2.40-2.47
Cr2 0.6648 0.3352 0.0000  6 S 2.40-2.47
S1 0.0678 0.4265 0.2328  2 Cr 2.40-2.45, 2 Zn 2.48-2.60, 1 Mn 2.58
S2 0.2512 0.2512 0.7667  1 Mn 2.44, 2 Cr 2.47, 2 Zn 2.58
S3 0.4265 0.0678 0.2328  2 Cr 2.40-2.45, 2 Zn 2.48-2.60, 1 Mn 2.58
S4 0.5735 0.9322 0.7672  2 Cr 2.40-2.45, 2 Zn 2.48-2.60, 1 Mn 2.58
S5 0.7488 0.7488 0.2333  1 Mn 2.44, 2 Cr 2.47, 2 Zn 2.58
S6 0.9322 0.5735 0.7672  2 Cr 2.40-2.45, 2 Zn 2.48-2.60, 1 Mn 2.58

Properties
* calculated volume: 193.19 Å³/cell
* DFT total energy: -5.63 eV/atom

no.,E_form (uncorrected) (meV per atom)
1,-750
2,-707
3,-673
4,-145
5,-543
6,-533
7,-502
8,-517
9,-667
10,-634
11,881
12,-566